This record from the Alexandria database describes a geometry-optimized Ca2PmHg6 structure. The functional is PBE.

ΔE_f in eV per atom: -0.4392
SG: P6/mmm (191)

Cell lengths 8.6910, 8.6910, 3.5275 Å; angles 90.00, 90.00, 120.00 degrees
Closest atoms and distances in Å follow each position.
Fractional coordinates of all 9 atoms:
Ca: 0.3333 0.6667 0.0000  12 Hg 3.39, 2 Ca 3.53
Ca: 0.6667 0.3333 0.0000  12 Hg 3.39, 2 Ca 3.53
Pm: 0.0000 0.0000 0.0000  12 Hg 3.40, 2 Pm 3.53
Hg: 0.0000 0.3346 0.5000  3 Hg 2.87-2.91
Hg: 0.0000 0.6654 0.5000  3 Hg 2.87-2.91
Hg: 0.3346 0.0000 0.5000  3 Hg 2.87-2.91
Hg: 0.3346 0.3346 0.5000  3 Hg 2.87-2.91
Hg: 0.6654 0.0000 0.5000  3 Hg 2.87-2.91
Hg: 0.6654 0.6654 0.5000  3 Hg 2.87-2.91